No. 1
First-principles (PBE) data for a geometry-optimized NbOsPd structure, as listed in Alexandria via LeMat-Bulk.

Cell lengths 2.693, 4.535, 4.535 Å; angles 120.00, 90.00, 90.00 degrees
Element x y z (fractional)
Nb (0.665, 0.333, 0.667)
Os (0.170, 0.000, 0.000)
Pd (0.165, 0.667, 0.333)

## Properties
VASP energy = -26.33 eV/cell
mass density = 13.5 Mg/m³
energy relative to the elements = 55 meV per atom
M_tot = 0.0 μB/cell
excess energy over the best structure of this formula in the dataset = 118 meV/atom


No. 2
First-principles (PBE) data for a geometry-optimized Nb2Os2Pd structure, as listed in Alexandria via LeMat-Bulk.

Cell lengths 7.440, 7.440, 3.059 Å; angles 90.00, 90.00, 90.00 degrees
Element x y z (fractional)
Nb (0.160, 0.660, 0.500)
Nb (0.660, 0.840, 0.500)
Nb (0.840, 0.340, 0.500)
Nb (0.340, 0.160, 0.500)
Os (0.363, 0.863, 0.000)
Os (0.863, 0.637, 0.000)
Os (0.637, 0.137, 0.000)
Os (0.137, 0.363, 0.000)
Pd (0.000, 0.000, 0.000)
Pd (0.500, 0.500, 0.000)

## Properties
VASP energy = -96.04 eV/cell
mass density = 13.2 Mg/m³
energy relative to the elements = -46 meV per atom
M_tot = 0.0 μB/cell
excess energy over the best structure of this formula in the dataset = 0 meV/atom